{"formula": "AcNdHg17", "functional": "GGA-PBE", "state": "optimized geometry", "formation_energy_ev_per_fu": -2.54, "density_g_cm3": 12.4, "space_group": "R3m, No. 160", "lattice": [[5.0040, 2.8891, 5.8456], [-5.0040, 2.8891, 5.8456], [0.0000, -5.7781, 5.8456]], "species": ["Ac", "Nd", "Hg", "Hg", "Hg", "Hg", "Hg", "Hg", "Hg", "Hg", "Hg", "Hg", "Hg", "Hg", "Hg", "Hg", "Hg", "Hg", "Hg"], "fractional_positions": [[0.0000, 0.0000, 0.0000], [0.6824, 0.6824, 0.6824], [0.0525, 0.3651, 0.6670], [0.0525, 0.6670, 0.3651], [0.2678, 0.7064, 0.7064], [0.2911, 0.2911, 0.9436], [0.2911, 0.9436, 0.2911], [0.3083, 0.3083, 0.3083], [0.3651, 0.0525, 0.6670], [0.3651, 0.6670, 0.0525], [0.4777, 0.4777, 0.4777], [0.5975, 0.9510, 0.9510], [0.6670, 0.0525, 0.3651], [0.6670, 0.3651, 0.0525], [0.7064, 0.2678, 0.7064], [0.7064, 0.7064, 0.2678], [0.9436, 0.2911, 0.2911], [0.9510, 0.5975, 0.9510], [0.9510, 0.9510, 0.5975]]}



{"formula": "LaHo2Cd6", "functional": "GGA-PBE", "state": "optimized geometry", "formation_energy_ev_per_fu": -2.89, "density_g_cm3": 8.4, "space_group": "P6/mmm, No. 191", "lattice": [[8.7149, 0.0000, 0.0000], [-4.3575, 7.5474, 0.0000], [0.0000, 0.0000, 3.4457]], "species": ["La", "Ho", "Ho", "Cd", "Cd", "Cd", "Cd", "Cd", "Cd"], "fractional_positions": [[0.0000, 0.0000, 0.0000], [0.3333, 0.6667, 0.0000], [0.6667, 0.3333, 0.0000], [0.0000, 0.3378, 0.5000], [0.0000, 0.6622, 0.5000], [0.3378, 0.0000, 0.5000], [0.3378, 0.3378, 0.5000], [0.6622, 0.0000, 0.5000], [0.6622, 0.6622, 0.5000]]}



{"formula": "La2MnBePt6", "functional": "GGA-PBE", "state": "optimized geometry", "formation_energy_ev_per_fu": -7.67, "density_g_cm3": 13.0, "space_group": "R-3m, No. 166", "lattice": [[2.9360, 1.6951, 6.4462], [-2.9360, 1.6951, 6.4462], [0.0000, -3.3902, 6.4462]], "species": ["La", "La", "Mn", "Be", "Pt", "Pt", "Pt", "Pt", "Pt", "Pt"], "fractional_positions": [[0.2205, 0.2205, 0.2205], [0.7795, 0.7795, 0.7795], [0.5000, 0.5000, 0.5000], [0.0000, 0.0000, 0.0000], [0.2399, 0.2399, 0.7139], [0.2399, 0.7139, 0.2399], [0.2861, 0.7601, 0.7601], [0.7139, 0.2399, 0.2399], [0.7601, 0.2861, 0.7601], [0.7601, 0.7601, 0.2861]]}



{"formula": "Rb3Pr3ZrS8", "functional": "GGA-PBE", "state": "optimized geometry", "density_g_cm3": 3.7, "space_group": "R-3m, No. 166", "dft_energy_ev_per_atom": -5.68, "lattice": [[4.1329, 2.3861, 7.8552], [-4.1329, 2.3861, 7.8552], [0.0000, -4.7723, 7.8552]], "species": ["Rb", "Rb", "Rb", "Pr", "Pr", "Pr", "Zr", "S", "S", "S", "S", "S", "S", "S", "S"], "fractional_positions": [[0.0000, 0.5000, 0.5000], [0.5000, 0.0000, 0.5000], [0.5000, 0.5000, 0.0000], [0.0000, 0.0000, 0.5000], [0.0000, 0.5000, 0.0000], [0.5000, 0.0000, 0.0000], [0.5000, 0.5000, 0.5000], [0.2331, 0.2331, 0.2331], [0.2556, 0.7150, 0.7150], [0.2850, 0.2850, 0.7444], [0.2850, 0.7444, 0.2850], [0.7150, 0.2556, 0.7150], [0.7150, 0.7150, 0.2556], [0.7444, 0.2850, 0.2850], [0.7669, 0.7669, 0.7669]]}



{"formula": "NbMoI3", "functional": "GGA-PBE", "state": "optimized geometry", "relative_energy_mev_per_atom": 0, "density_g_cm3": 5.1, "space_group": "Pm-3m, No. 221", "lattice": [[5.7056, 0.0000, 0.0000], [0.0000, 5.7056, 0.0000], [0.0000, 0.0000, 5.7056]], "species": ["Nb", "Mo", "I", "I", "I"], "fractional_positions": [[0.0000, 0.0000, 0.0000], [0.5000, 0.5000, 0.5000], [0.0000, 0.0000, 0.5000], [0.0000, 0.5000, 0.0000], [0.5000, 0.0000, 0.0000]]}



{"formula": "Dy2ThCo2", "functional": "GGA-PBE", "state": "optimized geometry", "formation_energy_ev_per_fu": -1.35, "relative_energy_mev_per_atom": 0, "density_g_cm3": 10.1, "space_group": "Immm, No. 71", "lattice": [[-1.8646, 3.0706, 4.8324], [1.8646, -3.0706, 4.8324], [1.8646, 3.0706, -4.8324]], "species": ["Dy", "Dy", "Th", "Co", "Co"], "fractional_positions": [[0.1890, 0.1890, 0.0000], [0.8110, 0.8110, 0.0000], [0.5000, 0.0000, 0.5000], [0.1964, 0.5000, 0.6964], [0.8036, 0.5000, 0.3036]]}



{"formula": "Pr8NdTm3", "functional": "GGA-PBE", "state": "optimized geometry", "formation_energy_ev_per_fu": 0.20, "density_g_cm3": 7.1, "space_group": "P1, No. 1", "lattice": [[6.3249, 0.0000, 0.0000], [-0.0162, 7.3032, 0.0000], [-3.1466, -1.8122, 8.9662]], "species": ["Pr", "Pr", "Pr", "Pr", "Pr", "Pr", "Pr", "Pr", "Nd", "Tm", "Tm", "Tm"], "fractional_positions": [[0.0000, 0.0000, 0.0000], [0.0007, 0.4956, 0.9990], [0.0039, 0.1661, 0.6654], [0.0050, 0.8317, 0.3353], [0.4968, 0.7467, 0.9985], [0.4998, 0.4158, 0.6675], [0.5006, 0.0842, 0.3318], [0.5044, 0.5791, 0.3329], [0.5056, 0.9149, 0.6689], [0.9998, 0.6630, 0.6637], [0.0015, 0.3331, 0.3339], [0.5044, 0.2491, 0.0015]]}



{"formula": "Th4AsOs2", "functional": "GGA-PBE", "state": "optimized geometry", "formation_energy_ev_per_fu": -2.93, "density_g_cm3": 10.3, "space_group": "Fddd, No. 70", "lattice": [[0.0000, 6.0634, 6.0757], [6.0569, 0.0000, 6.0757], [6.0569, 6.0634, 0.0000]], "species": ["Th", "Th", "Th", "Th", "Th", "Th", "Th", "Th", "As", "As", "Os", "Os", "Os", "Os"], "fractional_positions": [[0.2069, 0.7637, 0.7651], [0.2349, 0.2356, 0.7931], [0.2356, 0.2349, 0.2363], [0.2363, 0.7931, 0.2356], [0.7637, 0.2069, 0.7644], [0.7644, 0.7651, 0.7637], [0.7651, 0.7644, 0.2069], [0.7931, 0.2363, 0.2349], [0.3750, 0.3750, 0.3750], [0.6250, 0.6250, 0.6250], [0.0000, 0.0000, 0.0000], [0.0000, 0.0000, 0.5000], [0.0000, 0.5000, 0.0000], [0.5000, 0.0000, 0.0000]]}



{"formula": "SrNdPb2Se4", "functional": "GGA-PBE", "state": "optimized geometry", "density_g_cm3": 6.6, "space_group": "P2/m, No. 10", "dft_energy_ev_per_atom": -4.66, "lattice": [[7.4239, 0.0000, 0.0000], [0.0000, 4.4303, 0.0000], [-2.7087, 0.0000, 7.3515]], "species": ["Sr", "Nd", "Pb", "Pb", "Se", "Se", "Se", "Se"], "fractional_positions": [[0.0000, 0.0000, 0.0000], [0.0000, 0.5000, 0.5000], [0.5000, 0.0000, 0.5000], [0.5000, 0.5000, 0.0000], [0.2418, 0.0000, 0.7372], [0.2430, 0.5000, 0.2595], [0.7570, 0.5000, 0.7405], [0.7582, 0.0000, 0.2628]]}



{"formula": "MgPdS", "functional": "GGA-PBE", "state": "optimized geometry", "density_g_cm3": 5.1, "space_group": "P1, No. 1", "dft_energy_ev_per_atom": -4.32, "lattice": [[3.5379, 0.0000, 0.0000], [-1.0167, 4.4399, 0.0000], [-0.0144, -1.3947, 6.7998]], "species": ["Mg", "Mg", "Pd", "Pd", "S", "S"], "fractional_positions": [[0.0000, 0.0000, 0.0000], [0.0009, 0.0028, 0.5005], [0.4336, 0.6423, 0.6972], [0.5688, 0.3610, 0.3024], [0.4480, 0.8147, 0.2211], [0.5525, 0.1888, 0.7806]]}



{"formula": "Li2PrPb3", "functional": "GGA-PBE", "state": "optimized geometry", "formation_energy_ev_per_fu": -2.08, "density_g_cm3": 8.2, "space_group": "P6_3/mmc, No. 194", "lattice": [[5.0861, 0.0000, 0.0000], [-2.5430, 4.4047, 0.0000], [0.0000, 0.0000, 14.0802]], "species": ["Li", "Li", "Li", "Li", "Pr", "Pr", "Pb", "Pb", "Pb", "Pb", "Pb", "Pb"], "fractional_positions": [[0.3333, 0.6667, 0.0956], [0.3333, 0.6667, 0.4044], [0.6667, 0.3333, 0.5956], [0.6667, 0.3333, 0.9044], [0.0000, 0.0000, 0.2500], [0.0000, 0.0000, 0.7500], [0.0000, 0.0000, 0.0000], [0.0000, 0.0000, 0.5000], [0.3333, 0.6667, 0.6336], [0.3333, 0.6667, 0.8664], [0.6667, 0.3333, 0.1336], [0.6667, 0.3333, 0.3664]]}



{"formula": "Sc6InHg", "functional": "GGA-PBE", "state": "optimized geometry", "formation_energy_ev_per_fu": -2.03, "relative_energy_mev_per_atom": 0, "density_g_cm3": 5.3, "space_group": "P4/mmm, No. 123", "lattice": [[4.4953, 0.0000, 0.0000], [0.0000, 4.4953, 0.0000], [0.0000, 0.0000, 8.9891]], "species": ["Sc", "Sc", "Sc", "Sc", "Sc", "Sc", "In", "Hg"], "fractional_positions": [[0.0000, 0.0000, 0.0000], [0.0000, 0.0000, 0.5000], [0.0000, 0.5000, 0.2473], [0.0000, 0.5000, 0.7527], [0.5000, 0.0000, 0.2473], [0.5000, 0.0000, 0.7527], [0.5000, 0.5000, 0.5000], [0.5000, 0.5000, 0.0000]]}



| no. | DOS(E_F) (states/eV/f.u.) | total magnetic moment (Bohr magnetons per cell) |
| --- | --- | --- |
| 1 | 7.4 | 0.0 |
| 2 | 7.6 | 0.0 |
| 3 | 3.8 | 4.0 |
| 4 | 0.0 | 0.0 |
| 5 | 2.7 | 8.0 |
| 6 | 4.0 | 0.0 |
| 7 | 17.1 | 0.0 |
| 8 | 5.1 | 0.0 |
| 9 | 3.8 | 0.0 |
| 10 | 0.0 | 0.0 |
| 11 | 2.8 | 0.0 |
| 12 | 10.4 | 2.5 |